Run one
The following is a DFT calculation (GGA-PBE) of a relaxed Mn2BeNiH crystal.

Cell: 3.626 3.626 3.489 Å, 90.00 90.00 90.00°
Positions (direct):
Mn1 0.000 0.500 0.000
Mn2 0.500 0.000 0.000
Be1 0.000 0.000 0.500
Ni1 0.500 0.500 0.500
H1 0.500 0.500 0.000

Run two
The following is a DFT calculation (GGA-PBE) of a relaxed Mn2BeNiH crystal.

Cell: 3.568 3.568 3.535 Å, 90.00 90.00 90.00°
Positions (direct):
Mn1 0.000 0.500 0.000
Mn2 0.500 0.000 0.000
Be1 0.000 0.000 0.500
Ni1 0.500 0.500 0.500
H1 0.000 0.000 0.000

Question: of the structures shown, which is the most stable? Reply: run one.